Entry 1:
Material: BaLi5
Method: DFT, PBEsol
State: optimized geometry

Cell and atoms, written as POSCAR:
```
BaLi5
1.0
6.325 0.000 0.000
-3.162 5.477 0.000
0.000 0.000 4.836
Ba Li
1 5
Direct
0.000 0.000 0.000
0.000 0.500 0.500
0.333 0.667 0.000
0.500 0.000 0.500
0.500 0.500 0.500
0.667 0.333 0.000
```

Output
Formation energy, eV/atom: 0.023
Energy relative to the lowest polymorph listed for this composition, meV/atom: 0
N(E_F), states/eV/cell: 4.78
Crystal system: hexagonal

Entry 2:
Material: BaLi5
Method: DFT, PBEsol
State: optimized geometry

Cell and atoms, written as POSCAR:
```
BaLi5
1.0
0.000 4.321 4.321
4.321 0.000 4.321
4.321 4.321 0.000
Ba Li
1 5
Direct
0.000 0.000 0.000
0.377 0.377 0.377
0.377 0.377 0.868
0.377 0.868 0.377
0.750 0.750 0.750
0.868 0.377 0.377
```

Output
Formation energy, eV/atom: 0.028
Energy relative to the lowest polymorph listed for this composition, meV/atom: 5
N(E_F), states/eV/cell: 5.20
Crystal system: cubic

Entry 3:
Material: Ba3Li
Method: DFT, PBEsol
State: optimized geometry

Cell and atoms, written as POSCAR:
```
Ba3Li
1.0
4.640 0.000 0.000
0.000 6.560 0.000
0.000 0.000 6.561
Ba Li
3 1
Direct
0.000 0.000 0.000
0.000 0.500 0.494
0.500 0.000 0.501
0.500 0.500 0.993
```

Output
Formation energy, eV/atom: 0.085
N(E_F), states/eV/cell: 5.37
Crystal system: orthorhombic

Entry 4:
Material: Ba5Li24
Method: DFT, PBEsol
State: optimized geometry

Cell and atoms, written as POSCAR:
```
Ba5Li24
1.0
-5.817 5.817 5.817
5.817 -5.817 5.817
5.817 5.817 -5.817
Ba Li
5 24
Direct
0.000 0.000 0.000
0.000 0.000 0.620
0.000 0.620 0.000
0.380 0.380 0.380
0.620 0.000 0.000
0.000 0.193 0.381
0.000 0.381 0.193
0.000 0.398 0.655
0.000 0.655 0.398
0.188 0.807 0.807
0.193 0.000 0.381
0.193 0.381 0.000
0.257 0.602 0.602
0.345 0.345 0.743
0.345 0.743 0.345
0.381 0.000 0.193
0.381 0.193 0.000
0.398 0.000 0.655
0.398 0.655 0.000
0.602 0.257 0.602
0.602 0.602 0.257
0.619 0.619 0.812
0.619 0.812 0.619
0.655 0.000 0.398
0.655 0.398 0.000
0.743 0.345 0.345
0.807 0.188 0.807
0.807 0.807 0.188
0.812 0.619 0.619
```

Output
Formation energy, eV/atom: 0.050
N(E_F), states/eV/cell: 20.31
Crystal system: cubic

Entry 5:
Material: Ba2LiMg
Method: DFT, PBEsol
State: optimized geometry

Cell and atoms, written as POSCAR:
```
Ba2LiMg
1.0
4.090 0.000 0.000
0.000 4.090 0.000
0.000 0.000 9.368
Ba Li Mg
2 1 1
Direct
0.000 0.000 0.000
0.500 0.500 0.366
0.000 0.000 0.623
0.500 0.500 0.753
```

Output
Formation energy, eV/atom: 0.003
N(E_F), states/eV/cell: 2.38
Crystal system: tetragonal

Entry 6:
Material: BaLiMg3
Method: DFT, PBEsol
State: optimized geometry

Cell and atoms, written as POSCAR:
```
BaLiMg3
1.0
5.226 0.000 0.000
0.000 5.226 0.000
0.000 0.000 5.226
Ba Li Mg
1 1 3
Direct
0.000 0.000 0.000
0.500 0.500 0.500
0.000 0.500 0.500
0.500 0.000 0.500
0.500 0.500 0.000
```

Output
Formation energy, eV/atom: 0.054
Energy relative to the lowest polymorph listed for this composition, meV/atom: 0
N(E_F), states/eV/cell: 4.45
Crystal system: cubic

Entry 7:
Material: Ba2LiMg
Method: DFT, PBEsol
State: optimized geometry

Cell and atoms, written as POSCAR:
```
Ba2LiMg
1.0
2.533 1.462 7.996
-2.533 1.462 7.996
0.000 -2.924 7.996
Ba Li Mg
2 1 1
Direct
0.000 0.000 0.000
0.189 0.189 0.189
0.761 0.761 0.761
0.428 0.428 0.428
```

Output
Formation energy, eV/atom: 0.067
N(E_F), states/eV/cell: 4.22
Crystal system: trigonal

Entry 8:
Material: Ba2LiMg
Method: DFT, PBEsol
State: optimized geometry

Cell and atoms, written as POSCAR:
```
Ba2LiMg
1.0
4.524 0.000 0.000
0.000 5.606 0.000
-2.269 0.000 6.566
Ba Li Mg
2 1 1
Direct
0.000 0.000 0.000
0.296 0.500 0.589
0.585 0.500 0.171
0.714 0.000 0.427
```

Output
Formation energy, eV/atom: 0.016
N(E_F), states/eV/cell: 3.81
Crystal system: monoclinic